Computed, not measured: an optimized crystal structure of KTlHg2 at the GGA-PBEsol level of DFT.

Unit cell a=4.8856 b=4.8856 c=5.7364 alpha=115.20 beta=115.20 gamma=90.00
Atoms (fractional coordinates):
Hg 0.0000 0.0000 0.0000
K 0.5000 0.5000 0.0000
Tl 0.2500 0.7500 0.5000
Hg 0.7500 0.2500 0.5000

Calculated values
Theoretical density ... 9.793 g/cm³
Total energy ... -1.330 eV/atom
Crystal system ... tetragonal
Space group ... I-4m2
V ... 27.33 A^3/atom
Calculated formation energy ... -0.11 eV per atom
Energy above the most stable polymorph in this dataset ... 17.9 kJ/mol of formula units

---

Computed, not measured: an optimized crystal structure of KTl2Hg at the GGA-PBEsol level of DFT.

Unit cell a=3.7425 b=3.7425 c=8.4822 alpha=90.00 beta=90.00 gamma=90.00
Atoms (fractional coordinates):
K 0.5000 0.5000 0.7363
Hg 0.0000 0.0000 0.4715
Tl 0.0000 0.0000 0.0353
Tl 0.5000 0.5000 0.2569

Calculated values
Theoretical density ... 9.064 g/cm³
Total energy ... -1.849 eV/atom
Crystal system ... tetragonal
Space group ... P4mm
V ... 29.70 A^3/atom
Calculated formation energy ... -0.11 eV per atom
Energy above the most stable polymorph in this dataset ... 0.4 kJ/mol of formula units

---

Computed, not measured: an optimized crystal structure of KTlHg2 at the GGA-PBEsol level of DFT.

Unit cell a=3.8994 b=3.9075 c=7.5353 alpha=90.00 beta=90.00 gamma=90.00
Atoms (fractional coordinates):
Hg 0.0000 0.0000 0.2816
Tl 0.5000 0.5000 0.5000
K 0.5000 0.5000 0.0000
Hg 0.0000 0.0000 0.7184

Calculated values
Theoretical density ... 9.324 g/cm³
Total energy ... -1.372 eV/atom
Crystal system ... tetragonal
Space group ... P4/mmm
V ... 28.70 A^3/atom
Calculated formation energy ... -0.15 eV per atom
Energy above the most stable polymorph in this dataset ... 1.5 kJ/mol of formula units

---

Computed, not measured: an optimized crystal structure of KTl2Hg at the GGA-PBEsol level of DFT.

Unit cell a=3.7506 b=3.7506 c=8.3508 alpha=90.00 beta=90.00 gamma=90.00
Atoms (fractional coordinates):
Tl 0.0000 0.0000 0.7977
K 0.5000 0.5000 0.5000
Hg 0.5000 0.5000 0.0000
Tl 0.0000 0.0000 0.2023

Calculated values
Theoretical density ... 9.167 g/cm³
Total energy ... -1.840 eV/atom
Crystal system ... tetragonal
Space group ... P4/mmm
V ... 29.37 A^3/atom
Calculated formation energy ... -0.10 eV per atom
Energy above the most stable polymorph in this dataset ... 4.2 kJ/mol of formula units

---

Computed, not measured: an optimized crystal structure of KTlHg at the GGA-PBEsol level of DFT.

Unit cell a=5.3668 b=5.3668 c=5.3668 alpha=60.00 beta=60.00 gamma=60.00
Atoms (fractional coordinates):
K 0.2500 0.2500 0.2500
Tl 0.0000 0.0000 0.0000
Hg 0.5000 0.5000 0.5000

Calculated values
Theoretical density ... 6.746 g/cm³
Total energy ... -1.218 eV/atom
Crystal system ... cubic
Space group ... F-43m
V ... 36.43 A^3/atom
Calculated formation energy ... 0.23 eV per atom
Energy above the most stable polymorph in this dataset ... 112.4 kJ/mol of formula units

---

Computed, not measured: an optimized crystal structure of KTl2Hg at the GGA-PBEsol level of DFT.

Unit cell a=5.3551 b=5.4611 c=5.3551 alpha=60.64 beta=90.00 gamma=119.36
Atoms (fractional coordinates):
Hg 0.5000 0.0000 0.5000
K 0.7500 0.5000 0.7500
Tl 0.2500 0.5000 0.2500
Tl 0.0000 0.0000 0.0000

Calculated values
Theoretical density ... 9.542 g/cm³
Total energy ... -1.825 eV/atom
Crystal system ... tetragonal
Space group ... I-4m2
V ... 28.21 A^3/atom
Calculated formation energy ... -0.09 eV per atom
Energy above the most stable polymorph in this dataset ... 9.6 kJ/mol of formula units